DyHo12Tm7 PBE relaxed; energy of formation from the pure elements = 6.81 eV per formula unit; V = 32.123 Å³ per atom; E above lowest polymorph = 30 meV/atom; Fermi-level density of states = 1.37 states/eV/atom; space group = R-3; total moment = 0.0 μB per formula unit
1.0
6.334 0.000 1.833
-3.585 9.186 4.484
-0.837 0.000 10.800
Dy Ho Tm
1 12 7
Cartesian
0.000 0.000 0.000
2.860 4.379 4.148
-2.495 8.614 10.407
0.820 1.946 3.722
0.065 7.260 9.036
2.362 4.952 9.437
3.750 3.872 12.115
-1.838 5.314 5.001
-0.450 4.234 7.679
1.847 1.926 8.080
1.092 7.240 13.394
4.407 0.572 6.709
-0.948 4.807 12.969
4.252 1.494 3.688
-2.847 7.888 7.273
0.621 2.791 11.104
3.167 0.000 0.916
1.291 6.395 6.012
4.758 1.298 9.844
-2.340 7.692 13.428